This record from OQMD describes crystalline Y3MoS at its relaxed geometry. The functional is GGA-PBE.

Lattice parameters (Å, degrees): 5.104 5.104 5.104 90.00 90.00 90.00
Space group Pm-3m (No. 221)
Symmetry-distinct sites (fractional):
1 Y 0.000 0.000 0.500 [3 per cell]
2 Mo 0.500 0.500 0.500 [1 per cell]
3 S 0.000 0.000 0.000 [1 per cell]

Properties
E ... -7.004 eV per atom

***

This record from OQMD describes crystalline KTb at its relaxed geometry. The functional is GGA-PBE.

Lattice parameters (Å, degrees): 6.991 6.991 6.991 90.00 90.00 90.00
Space group Fm-3m (No. 225)
Symmetry-distinct sites (fractional):
1 K 0.000 0.000 0.000 [4 per cell]
2 Tb 0.000 0.000 0.500 [4 per cell]

Properties
E ... -1.654 eV per atom

***

This record from OQMD describes crystalline PrCd2Ag2 at its relaxed geometry. The functional is GGA-PBE.

Lattice parameters (Å, degrees): 4.320 4.320 12.674 90.00 90.00 90.00
Space group I4/mmm (No. 139)
Symmetry-distinct sites (fractional):
1 Pr 0.000 0.000 0.000 [2 per cell]
2 Cd 0.000 0.500 0.250 [4 per cell]
3 Ag 0.000 0.000 0.395 [4 per cell]

Properties
Formation energy ... -0.215 eV/atom
Relative energy among the computed polymorphs ... 0.00 eV per formula unit

***

| no. | ρ (g/cm3) | M_tot (μB per atom) |
| --- | --- | --- |
| 1 | 4.9 | 0.2637 |
| 2 | 3.8 | 0.0017 |
| 3 | 8.2 | 0.0010 |